A relaxed LaHoIn4 crystal, computed with GGA-PBE.

Cell and atoms, written as POSCAR:
```
LaHoIn4
1.0
0.0000 4.2990 4.2990
4.2990 0.0000 4.2990
4.2990 4.2990 0.0000
La Ho In
1 1 4
direct
0.0000 0.0000 0.0000
0.2500 0.2500 0.2500
0.1252 0.6249 0.6249
0.6249 0.1252 0.6249
0.6249 0.6249 0.1252
0.6249 0.6249 0.6249
```

Summary:
**Magnetic moment**: 0.00 Bohr magnetons per cell
**Density of states at the Fermi level**: 4.7 states/eV per cell
**Excess energy over the best structure of this formula in the dataset**: 58 meV/atom

=====

A relaxed La2Ho3In crystal, computed with GGA-PBE.

Cell and atoms, written as POSCAR:
```
La2Ho3In
1.0
5.5227 0.0000 0.0000
0.0000 17.9259 0.0000
0.0000 0.0000 3.8594
La Ho In
4 6 2
direct
0.0000 0.1822 0.0000
0.0000 0.8178 0.0000
0.5000 0.3178 0.0000
0.5000 0.6822 0.0000
0.0000 0.0000 0.5000
0.0000 0.3595 0.5000
0.0000 0.6405 0.5000
0.5000 0.1405 0.5000
0.5000 0.5000 0.5000
0.5000 0.8595 0.5000
0.0000 0.5000 0.0000
0.5000 0.0000 0.0000
```

Summary:
**Magnetic moment**: 0.00 Bohr magnetons per cell
**Density of states at the Fermi level**: 13.2 states/eV per cell
**Excess energy over the best structure of this formula in the dataset**: 0 meV/atom

=====

A relaxed LaHo3In4 crystal, computed with GGA-PBE.

Cell and atoms, written as POSCAR:
```
LaHo3In4
1.0
10.8362 0.0000 0.0000
0.0000 7.3011 0.0000
0.0000 0.0000 5.5436
La Ho In
2 6 8
direct
0.0000 0.0000 0.0000
0.5000 0.0000 0.0000
0.0000 0.5000 0.0000
0.2500 0.0000 0.4336
0.2500 0.5000 0.4175
0.5000 0.5000 0.0000
0.7500 0.0000 0.5664
0.7500 0.5000 0.5825
0.0000 0.2634 0.5000
0.0000 0.7366 0.5000
0.2500 0.2625 0.9138
0.2500 0.7375 0.9138
0.5000 0.2634 0.5000
0.5000 0.7366 0.5000
0.7500 0.2625 0.0862
0.7500 0.7375 0.0862
```

Summary:
**Magnetic moment**: 0.00 Bohr magnetons per cell
**Total energy**: -0.1530 hartree per atom
**Density of states at the Fermi level**: 8.9 states/eV per cell

=====

A relaxed La2HoIn3 crystal, computed with GGA-PBE.

Cell and atoms, written as POSCAR:
```
La2HoIn3
1.0
3.8442 0.0000 0.0000
0.0000 3.8442 0.0000
0.0000 0.0000 11.8941
La Ho In
2 1 3
direct
0.0000 0.0000 0.1744
0.0000 0.0000 0.8256
0.0000 0.0000 0.5000
0.5000 0.5000 0.0000
0.5000 0.5000 0.3513
0.5000 0.5000 0.6487
```

Summary:
**Magnetic moment**: 0.00 Bohr magnetons per cell
**Density of states at the Fermi level**: 3.9 states/eV per cell
**Excess energy over the best structure of this formula in the dataset**: 0 meV/atom

=====

A relaxed La6HoIn crystal, computed with GGA-PBE.

Cell and atoms, written as POSCAR:
```
La6HoIn
1.0
7.3392 0.0000 0.0000
0.0000 12.6815 0.0000
-3.3901 0.0000 6.0339
La Ho In
12 2 2
direct
0.0133 0.0000 0.2574
0.0248 0.2722 0.7441
0.0248 0.7278 0.7441
0.4752 0.2278 0.2559
0.4752 0.7722 0.2559
0.4867 0.5000 0.7426
0.5133 0.5000 0.2574
0.5248 0.2278 0.7441
0.5248 0.7722 0.7441
0.9752 0.2722 0.2559
0.9752 0.7278 0.2559
0.9867 0.0000 0.7426
0.0000 0.5000 0.0000
0.5000 0.0000 0.0000
0.0000 0.5000 0.5000
0.5000 0.0000 0.5000
```

Summary:
**Magnetic moment**: 0.91 Bohr magnetons per cell
**Density of states at the Fermi level**: 28.0 states/eV per cell
**Excess energy over the best structure of this formula in the dataset**: 267 meV/atom

=====

A relaxed La2HoIn crystal, computed with GGA-PBE.

Cell and atoms, written as POSCAR:
```
La2HoIn
1.0
7.9840 0.0000 0.0000
0.0000 7.9840 0.0000
0.0000 0.0000 7.9840
La Ho In
8 4 4
direct
0.2500 0.2500 0.2500
0.2500 0.2500 0.7500
0.2500 0.7500 0.2500
0.2500 0.7500 0.7500
0.7500 0.2500 0.2500
0.7500 0.2500 0.7500
0.7500 0.7500 0.2500
0.7500 0.7500 0.7500
0.0000 0.0000 0.0000
0.0000 0.5000 0.5000
0.5000 0.0000 0.5000
0.5000 0.5000 0.0000
0.0000 0.0000 0.5000
0.0000 0.5000 0.0000
0.5000 0.0000 0.0000
0.5000 0.5000 0.5000
```

Summary:
**Magnetic moment**: 0.35 Bohr magnetons per cell
**Density of states at the Fermi level**: 29.5 states/eV per cell
**Excess energy over the best structure of this formula in the dataset**: 102 meV/atom